Material: Tb4Nd2Th
Method: DFT, PBE
State: optimized geometry

The calculated formation energy comes out at 0.72 eV/atom.

It has space group I4/mmm (No. 139), with a = 5.730 Å, b = 5.730 Å, c = 16.989 Å, α = 90.00°, β = 90.00° and γ = 90.00°. Symmetry generates all atoms from Tb at (0.000, 0.000, 0.180), Tb at (0.000, 0.500, 0.000), Nd at (0.000, 0.000, 0.384) and Th at (0.000, 0.000, 0.000).



Material: Tb3NdTh
Method: DFT, PBE
State: optimized geometry

The calculated formation energy comes out at 0.17 eV/atom.

It has space group Cmmm (No. 65), with a = 5.362 Å, b = 11.315 Å, c = 11.053 Å, α = 90.00°, β = 90.00° and γ = 90.00°. Symmetry generates all atoms from Tb at (0.000, 0.000, 0.175), Tb at (0.000, 0.349, 0.307), Nd at (0.000, 0.346, 0.000) and Th at (0.000, 0.135, 0.500).



Material: TbNdTh14
Method: DFT, PBE
State: optimized geometry

The calculated formation energy comes out at 0.04 eV/atom.

It has space group Amm2 (No. 38), with a = 11.614 Å, b = 7.180 Å, c = 12.454 Å, α = 90.00°, β = 90.00° and γ = 90.00°. Symmetry generates all atoms from Tb at (0.000, 0.000, 0.000), Nd at (0.000, 0.000, 0.501), Th at (0.000, 0.249, 0.747), Th at (0.251, 0.000, 0.166), Th at (0.251, 0.249, 0.915), Th at (0.252, 0.000, 0.666), Th at (0.500, 0.000, 0.332), Th at (0.500, 0.000, 0.832) and Th at (0.500, 0.250, 0.082).



Question: Which of these has the lowest calculated formation energy?
Answer: TbNdTh14